The following is a GGA-PBE calculation of an optimized crystal structure of MgTa2Cd, from Alexandria via LeMat-Bulk.

Values from the calculation:
ΔE_f (eV per atom): 0.411
Volume (Å³ per atom): 18.98
Symmetry: I-4m2 (119)
Magnetic moment (μB/atom): 0.000
Distance to the lowest polymorph of the same formula (eV/f.u.): 1.21

a b c (Å): 5.272 5.272 5.272
angles (deg): 133.45 133.45 67.95
Element x y z (fractional)
Mg 0.750 0.250 0.500
Cd 0.500 0.500 0.000
Ta 0.250 0.750 0.500
Ta 0.000 0.000 0.000